(1)
## LiLaP (PBE)

Data for a relaxed LiLaP crystal.

Unit cell a=4.1923 b=4.1923 c=4.1454 alpha=90.00 beta=90.00 gamma=120.00
Fractional positions:
1 Li 0.0000 0.0000 0.0000
2 La 0.3333 0.6667 0.5000
3 P 0.6667 0.3333 0.0000

## Properties
- DFT formation energy (eV per atom) = -1.045
- SG = P-6m2
- crystal system = hexagonal

(2)
## LiLa2P (PBE)

Data for a relaxed LiLa2P crystal.

Unit cell a=4.1945 b=4.1945 c=6.1742 alpha=90.00 beta=90.00 gamma=90.00
Fractional positions:
1 Li 0.0000 0.0000 0.0000
2 La 0.0000 0.0000 0.4488
3 La 0.5000 0.5000 0.8125
4 P 0.5000 0.5000 0.3198

## Properties
- DFT formation energy (eV per atom) = -0.464
- SG = P4mm
- crystal system = tetragonal

(3)
## LiLaP (PBE)

Data for a relaxed LiLaP crystal.

Unit cell a=4.2319 b=4.2319 c=6.9175 alpha=90.00 beta=90.00 gamma=90.00
Fractional positions:
1 Li 0.2500 0.7500 0.0000
2 Li 0.7500 0.2500 0.0000
3 La 0.2500 0.2500 0.3313
4 La 0.7500 0.7500 0.6687
5 P 0.2500 0.2500 0.7756
6 P 0.7500 0.7500 0.2244

## Properties
- DFT formation energy (eV per atom) = -1.041
- SG = P4/nmm
- crystal system = tetragonal

(4)
## LiLa2P (PBE)

Data for a relaxed LiLa2P crystal.

Unit cell a=3.9290 b=4.7894 c=5.0584 alpha=90.00 beta=90.00 gamma=90.00
Fractional positions:
1 Li 0.0000 0.0000 0.0000
2 La 0.5000 0.0000 0.5521
3 La 0.5000 0.5000 0.1354
4 P 0.0000 0.5000 0.6480

## Properties
- DFT formation energy (eV per atom) = -0.630
- SG = Pmm2
- crystal system = orthorhombic

(5)
## LiLa2P (PBE)

Data for a relaxed LiLa2P crystal.

Unit cell a=3.7977 b=3.7965 c=7.2987 alpha=90.00 beta=90.23 gamma=90.00
Fractional positions:
1 Li 0.0000 0.0000 0.0000
2 La 0.4963 0.5000 0.7162
3 La 0.5037 0.5000 0.2838
4 P 0.0000 0.0000 0.5000

## Properties
- DFT formation energy (eV per atom) = -0.602
- SG = P2/m
- crystal system = monoclinic

(6)
## LiLaP (PBE)

Data for a relaxed LiLaP crystal.

Unit cell a=4.6898 b=5.7133 c=10.1319 alpha=90.00 beta=90.00 gamma=90.00
Fractional positions:
1 Li 0.0000 0.0000 0.0000
2 Li 0.0000 0.5000 0.5000
3 Li 0.5000 0.0000 0.5000
4 Li 0.5000 0.5000 0.0000
5 La 0.0000 0.0000 0.7219
6 La 0.0000 0.5000 0.2219
7 La 0.5000 0.0000 0.2219
8 La 0.5000 0.5000 0.7219
9 P 0.0000 0.0000 0.3954
10 P 0.0000 0.5000 0.8954
11 P 0.5000 0.0000 0.8954
12 P 0.5000 0.5000 0.3954

## Properties
- DFT formation energy (eV per atom) = -0.536
- SG = Fmm2
- crystal system = orthorhombic

Among the records above, which one has the highest DFT formation energy?
number 2